[1]
## CeMg14Bi (PBE)

Data for a relaxed CeMg14Bi crystal.

a = 6.5684 Å, b = 6.5684 Å, c = 10.4278 Å
α = 90.00°, β = 90.00°, γ = 120.00°
Space group P-6m2 (No. 187)
Inequivalent atoms, fractional coordinates:
Ce: 0.0000 0.0000 0.0000 [1 per cell]
Mg: 0.0132 0.5066 0.0000 [3 per cell]
Mg: 0.1691 0.3383 0.2528 [6 per cell]
Mg: 0.5037 0.0074 0.5000 [3 per cell]
Mg: 0.6667 0.3333 0.2382 [2 per cell]
Bi: 0.0000 0.0000 0.5000 [1 per cell]

Calculated values
E above lowest polymorph: 60 kJ/mol of formula units
magnetization: 1.0 μB/cell



[2]
## CeMg2Bi3 (PBE)

Data for a relaxed CeMg2Bi3 crystal.

a = 4.8664 Å, b = 10.8943 Å, c = 6.7471 Å
α = 90.00°, β = 90.05°, γ = 90.00°
Space group P2_1/m (No. 11)
Inequivalent atoms, fractional coordinates:
Ce: 0.2499 0.2500 0.1585 [2 per cell]
Mg: 0.2507 0.5936 0.1731 [4 per cell]
Bi: 0.2493 0.2500 0.6696 [2 per cell]
Bi: 0.2497 0.5666 0.7206 [4 per cell]

Calculated values
electronic total energy: -22.68 eV/f.u.
magnetization: 1.6 μB/cell



[3]
## CeMg3Bi3 (PBE)

Data for a relaxed CeMg3Bi3 crystal.

a = 17.5735 Å, b = 4.5445 Å, c = 12.7955 Å
α = 90.00°, β = 117.51°, γ = 90.00°
Space group C2/m (No. 12)
Inequivalent atoms, fractional coordinates:
Ce: 0.2307 0.0000 0.2255 [4 per cell]
Mg: 0.0424 0.5000 0.7383 [4 per cell]
Mg: 0.1742 0.0000 0.4858 [4 per cell]
Mg: 0.1861 0.0000 0.9177 [4 per cell]
Bi: 0.1045 0.0000 0.6557 [4 per cell]
Bi: 0.1217 0.5000 0.0058 [4 per cell]
Bi: 0.1390 0.5000 0.3238 [4 per cell]

Calculated values
electronic total energy: -24.65 eV/f.u.
magnetization: 3.9 μB/cell



[4]
## Ce2MgBi (PBE)

Data for a relaxed Ce2MgBi crystal.

a = 4.7910 Å, b = 4.7910 Å, c = 4.8434 Å
α = 90.00°, β = 90.00°, γ = 90.00°
Space group P4/mmm (No. 123)
Inequivalent atoms, fractional coordinates:
Ce: 0.0000 0.5000 0.0000 [2 per cell]
Mg: 0.0000 0.0000 0.5000 [1 per cell]
Bi: 0.5000 0.5000 0.5000 [1 per cell]

Calculated values
E above lowest polymorph: 0 kJ/mol of formula units
magnetization: 2.2 μB/cell



[5]
## Ce2MgBi3 (PBE)

Data for a relaxed Ce2MgBi3 crystal.

a = 4.5457 Å, b = 4.5457 Å, c = 19.3028 Å
α = 90.00°, β = 90.00°, γ = 90.00°
Space group I4/mmm (No. 139)
Inequivalent atoms, fractional coordinates:
Ce: 0.0000 0.0000 0.1626 [4 per cell]
Mg: 0.0000 0.0000 0.5000 [2 per cell]
Bi: 0.0000 0.0000 0.0000 [2 per cell]
Bi: 0.0000 0.0000 0.3331 [4 per cell]

Calculated values
E above lowest polymorph: 0 kJ/mol of formula units
magnetization: 2.0 μB/cell



[6]
## Ce2MgBi (PBE)

Data for a relaxed Ce2MgBi crystal.

a = 7.7832 Å, b = 7.7832 Å, c = 7.7832 Å
α = 90.00°, β = 90.00°, γ = 90.00°
Space group Fm-3m (No. 225)
Inequivalent atoms, fractional coordinates:
Ce: 0.2500 0.2500 0.2500 [8 per cell]
Mg: 0.0000 0.0000 0.0000 [4 per cell]
Bi: 0.0000 0.0000 0.5000 [4 per cell]

Calculated values
E above lowest polymorph: 35 kJ/mol of formula units
magnetization: 11.5 μB/cell



[7]
## CeMgBi2 (PBE)

Data for a relaxed CeMgBi2 crystal.

a = 7.7410 Å, b = 7.7410 Å, c = 7.7410 Å
α = 90.00°, β = 90.00°, γ = 90.00°
Space group Fm-3m (No. 225)
Inequivalent atoms, fractional coordinates:
Ce: 0.0000 0.0000 0.0000 [4 per cell]
Mg: 0.0000 0.0000 0.5000 [4 per cell]
Bi: 0.2500 0.2500 0.2500 [8 per cell]

Calculated values
E above lowest polymorph: 62 kJ/mol of formula units
magnetization: 2.7 μB/cell



[8]
## Ce2Mg4Bi3N2 (PBE)

Data for a relaxed Ce2Mg4Bi3N2 crystal.

a = 4.5388 Å, b = 4.5388 Å, c = 24.8534 Å
α = 90.00°, β = 90.00°, γ = 90.00°
Space group I4/mmm (No. 139)
Inequivalent atoms, fractional coordinates:
Ce: 0.0000 0.0000 0.1800 [4 per cell]
Mg: 0.0000 0.5000 0.0777 [8 per cell]
Bi: 0.0000 0.0000 0.3207 [4 per cell]
Bi: 0.0000 0.0000 0.5000 [2 per cell]
N: 0.0000 0.0000 0.0966 [4 per cell]

Calculated values
formation energy without anion corrections: -652.5 meV/atom
magnetization: 1.7 μB/cell